# Dy3Si5Se12

Dy3Si5Se12 after structural relaxation (PBE, the Alexandria database).

Cell: 13.6506 13.6506 13.6506 Å, 109.47 109.47 109.47°
Closest atoms and distances in Å follow each position.
Positions (direct):
1 Dy 0.1250 0.2500 0.3750  8 Se 3.00-3.06
2 Dy 0.1250 0.3750 0.7500  8 Se 3.00-3.06
3 Dy 0.2500 0.3750 0.1250  8 Se 3.00-3.06
4 Dy 0.2500 0.8750 0.6250  8 Se 3.00-3.06
5 Dy 0.3750 0.1250 0.2500  8 Se 3.00-3.06
6 Dy 0.3750 0.7500 0.1250  8 Se 3.00-3.06
7 Dy 0.6250 0.2500 0.8750  8 Se 3.00-3.06
8 Dy 0.6250 0.8750 0.7500  8 Se 3.00-3.06
9 Dy 0.7500 0.1250 0.3750  8 Se 3.00-3.06
10 Dy 0.7500 0.6250 0.8750  8 Se 3.00-3.06
11 Dy 0.8750 0.6250 0.2500  8 Se 3.00-3.06
12 Dy 0.8750 0.7500 0.6250  8 Se 3.00-3.06
13 Si 0.0000 0.0000 0.0000  6 Se 2.64
14 Si 0.0000 0.0000 0.5000  6 Se 2.64
15 Si 0.0000 0.5000 0.0000  6 Se 2.64
16 Si 0.0000 0.5000 0.5000  6 Se 2.64
17 Si 0.1250 0.7500 0.8750  4 Se 2.35
18 Si 0.1250 0.8750 0.2500  4 Se 2.35
19 Si 0.2500 0.1250 0.8750  4 Se 2.35
20 Si 0.2500 0.6250 0.3750  4 Se 2.35
21 Si 0.3750 0.2500 0.6250  4 Se 2.35
22 Si 0.3750 0.6250 0.7500  4 Se 2.35
23 Si 0.5000 0.0000 0.0000  6 Se 2.64
24 Si 0.5000 0.0000 0.5000  6 Se 2.64
25 Si 0.5000 0.5000 0.0000  6 Se 2.64
26 Si 0.5000 0.5000 0.5000  6 Se 2.64
27 Si 0.6250 0.3750 0.2500  4 Se 2.35
28 Si 0.6250 0.7500 0.3750  4 Se 2.35
29 Si 0.7500 0.3750 0.6250  4 Se 2.35
30 Si 0.7500 0.8750 0.1250  4 Se 2.35
31 Si 0.8750 0.1250 0.7500  4 Se 2.35
32 Si 0.8750 0.2500 0.1250  4 Se 2.35
33 Se 0.0318 0.2138 0.1260  1 Si 2.35
34 Se 0.0318 0.3180 0.9058  1 Si 2.35
35 Se 0.0878 0.7138 0.6820  1 Si 2.35
36 Se 0.0878 0.8740 0.4058  1 Si 2.35
37 Se 0.0942 0.6260 0.4122  1 Si 2.35
38 Se 0.0942 0.9682 0.6820  1 Si 2.35
39 Se 0.1260 0.0318 0.2138  1 Si 2.35
40 Se 0.1260 0.5942 0.9122  1 Si 2.35
41 Se 0.1820 0.2138 0.5878  1 Si 2.35
42 Se 0.1820 0.4682 0.5942  1 Si 2.35
43 Se 0.2138 0.1260 0.0318  1 Si 2.35
44 Se 0.2138 0.5878 0.1820  1 Si 2.35
45 Se 0.2862 0.3180 0.9122  1 Si 2.35
46 Se 0.2862 0.4682 0.3740  1 Si 2.35
47 Se 0.3180 0.9058 0.0318  1 Si 2.35
48 Se 0.3180 0.9122 0.2862  1 Si 2.35
49 Se 0.3740 0.2862 0.4682  1 Si 2.35
50 Se 0.3740 0.5878 0.9058  1 Si 2.35
51 Se 0.4058 0.0878 0.8740  1 Si 2.35
52 Se 0.4058 0.8180 0.5318  1 Si 2.35
53 Se 0.4122 0.0942 0.6260  1 Si 2.35
54 Se 0.4122 0.8180 0.7862  1 Si 2.35
55 Se 0.4682 0.3740 0.2862  1 Si 2.35
56 Se 0.4682 0.5942 0.1820  1 Si 2.35
57 Se 0.5318 0.4058 0.8180  1 Si 2.35
58 Se 0.5318 0.6260 0.7138  1 Si 2.35
59 Se 0.5878 0.1820 0.2138  1 Si 2.35
60 Se 0.5878 0.9058 0.3740  1 Si 2.35
61 Se 0.5942 0.1820 0.4682  1 Si 2.35
62 Se 0.5942 0.9122 0.1260  1 Si 2.35
63 Se 0.6260 0.4122 0.0942  1 Si 2.35
64 Se 0.6260 0.7138 0.5318  1 Si 2.35
65 Se 0.6820 0.0878 0.7138  1 Si 2.35
66 Se 0.6820 0.0942 0.9682  1 Si 2.35
67 Se 0.7138 0.5318 0.6260  1 Si 2.35
68 Se 0.7138 0.6820 0.0878  1 Si 2.35
69 Se 0.7862 0.4122 0.8180  1 Si 2.35
70 Se 0.7862 0.8740 0.9682  1 Si 2.35
71 Se 0.8180 0.5318 0.4058  1 Si 2.35
72 Se 0.8180 0.7862 0.4122  1 Si 2.35
73 Se 0.8740 0.4058 0.0878  1 Si 2.35
74 Se 0.8740 0.9682 0.7862  1 Si 2.35
75 Se 0.9058 0.0318 0.3180  1 Si 2.35
76 Se 0.9058 0.3740 0.5878  1 Si 2.35
77 Se 0.9122 0.1260 0.5942  1 Si 2.35
78 Se 0.9122 0.2862 0.3180  1 Si 2.35
79 Se 0.9682 0.6820 0.0942  1 Si 2.35
80 Se 0.9682 0.7862 0.8740  1 Si 2.35

Properties
Its volume is 24.476 A^3/atom. For the theoretical density, the calculation gives 5.34 g/cm3. The magnetization is 0.0 Bohr magnetons per cell. Its space-group type is Ia-3d, No. 230. The calculation puts the energy relative to the elements, uncorrected at -0.772 eV per atom. The density of states at the Fermi level is 0.10 states/eV per atom.